(1)
Entry from Alexandria via LeMat-Bulk: a geometry-optimized Nd3In4Ag4 structure (PBE-GGA).

Computed properties:
- density of states at the Fermi level (states/eV per atom) = 0.65
- space group = P-1, No. 2
- E (eV/atom) = -3.664

abc: 3.648 4.917 15.508
angles: 80.97 83.23 90.01
Element x y z (fractional)
Nd 0.140 0.641 0.719
Nd 0.860 0.359 0.281
Nd 0.000 0.000 0.000
In 0.593 0.093 0.813
In 0.264 0.264 0.473
In 0.736 0.736 0.527
In 0.407 0.907 0.187
Ag 0.547 0.546 0.907
Ag 0.453 0.454 0.093
Ag 0.315 0.814 0.372
Ag 0.685 0.186 0.628

=====

(2)
Entry from Alexandria via LeMat-Bulk: a geometry-optimized Nd8InAg2 structure (PBE-GGA).

Computed properties:
- density of states at the Fermi level (states/eV per atom) = 1.47
- space group = C2/m, No. 12
- E (eV/atom) = -4.308

abc: 5.590 8.593 8.593
angles: 116.99 99.76 99.76
Element x y z (fractional)
Nd 0.909 0.915 0.687
Nd 0.909 0.687 0.915
Nd 0.306 0.603 0.603
Nd 0.500 0.769 0.231
Nd 0.500 0.231 0.769
Nd 0.694 0.397 0.397
Nd 0.091 0.313 0.085
Nd 0.091 0.085 0.313
In 0.500 0.000 0.000
Ag 0.000 0.309 0.691
Ag 0.000 0.691 0.309

=====

(3)
Entry from Alexandria via LeMat-Bulk: a geometry-optimized Nd3In3Ag2 structure (PBE-GGA).

Computed properties:
- density of states at the Fermi level (states/eV per atom) = 0.84
- space group = Cmcm, No. 63
- E (eV/atom) = -3.934

abc: 4.790 6.121 15.969
angles: 90.00 90.00 113.04
Element x y z (fractional)
Nd 0.908 0.815 0.392
Nd 0.092 0.185 0.892
Nd 0.908 0.815 0.108
Nd 0.092 0.185 0.608
Nd 0.645 0.289 0.250
Nd 0.355 0.711 0.750
In 0.614 0.228 0.459
In 0.386 0.772 0.959
In 0.614 0.228 0.041
In 0.386 0.772 0.541
In 0.356 0.713 0.250
In 0.644 0.287 0.750
Ag 0.793 0.585 0.897
Ag 0.207 0.415 0.397
Ag 0.793 0.585 0.603
Ag 0.207 0.415 0.103

=====

(4)
Entry from Alexandria via LeMat-Bulk: a geometry-optimized NdIn2Ag9 structure (PBE-GGA).

Computed properties:
- density of states at the Fermi level (states/eV per atom) = 0.35
- space group = R-3m, No. 166
- E (eV/atom) = -3.055

abc: 5.607 5.607 9.750
angles: 73.29 73.29 60.00
Element x y z (fractional)
Nd 0.000 0.000 0.000
In 0.858 0.858 0.425
In 0.142 0.142 0.575
Ag 0.666 0.666 0.001
Ag 0.334 0.334 0.999
Ag 0.500 0.500 0.500
Ag 0.413 0.413 0.255
Ag 0.919 0.413 0.255
Ag 0.413 0.919 0.255
Ag 0.587 0.587 0.745
Ag 0.587 0.081 0.745
Ag 0.081 0.587 0.745

=====

(5)
Entry from Alexandria via LeMat-Bulk: a geometry-optimized Nd6InAg3 structure (PBE-GGA).

Computed properties:
- density of states at the Fermi level (states/eV per atom) = 1.07
- space group = P2_1/m, No. 11
- E (eV/atom) = -4.195

abc: 5.209 9.801 11.482
angles: 102.90 90.00 90.00
Element x y z (fractional)
Nd 0.250 0.462 0.096
Nd 0.750 0.538 0.904
Nd 0.250 0.138 0.206
Nd 0.750 0.862 0.794
Nd 0.250 0.633 0.690
Nd 0.750 0.367 0.310
Nd 0.250 0.256 0.511
Nd 0.750 0.744 0.489
Nd 0.250 0.834 0.303
Nd 0.750 0.166 0.697
Nd 0.250 0.093 0.908
Nd 0.750 0.907 0.092
In 0.250 0.945 0.616
In 0.750 0.055 0.384
Ag 0.250 0.537 0.394
Ag 0.750 0.463 0.606
Ag 0.250 0.363 0.801
Ag 0.750 0.637 0.199
Ag 0.250 0.763 0.972
Ag 0.750 0.237 0.028

=====

(6)
Entry from Alexandria via LeMat-Bulk: a geometry-optimized Nd12In6Ag structure (PBE-GGA).

Computed properties:
- density of states at the Fermi level (states/eV per atom) = 1.13
- space group = R-3, No. 148
- E (eV/atom) = -4.265

abc: 8.294 8.294 8.294
angles: 89.13 89.13 89.13
Element x y z (fractional)
Nd 0.811 0.524 0.433
Nd 0.433 0.811 0.524
Nd 0.524 0.433 0.811
Nd 0.189 0.476 0.567
Nd 0.567 0.189 0.476
Nd 0.476 0.567 0.189
Nd 0.060 0.126 0.376
Nd 0.874 0.624 0.940
Nd 0.624 0.940 0.874
Nd 0.940 0.874 0.624
Nd 0.126 0.376 0.060
Nd 0.376 0.060 0.126
In 0.740 0.884 0.255
In 0.745 0.260 0.116
In 0.116 0.745 0.260
In 0.260 0.116 0.745
In 0.255 0.740 0.884
In 0.884 0.255 0.740
Ag 0.000 0.000 0.000